No. 1
The following is a DFT calculation (PBE) of an optimized crystal structure of Nd3Ga8Cu3.

Computed properties:
The calculation puts the energy above the most stable polymorph in this dataset at 0 meV per atom. The volume comes out at 262.5 Å³/cell. The calculation puts the formation energy from the elements at -0.4797 eV per atom. Its crystal system is orthorhombic. For the magnetization, the calculation gives 0.00 μB per atom.

a b c (Å): 8.231 8.231 8.231
angles (deg): 149.36 109.70 78.61
Atoms (fractional coordinates):
Nd: 0.000 0.000 0.000
Nd: 0.303 0.303 0.000
Nd: 0.697 0.697 0.000
Ga: 0.018 0.655 0.362
Ga: 0.157 0.869 0.288
Ga: 0.293 0.655 0.638
Ga: 0.419 0.131 0.288
Ga: 0.581 0.869 0.712
Ga: 0.707 0.345 0.362
Ga: 0.843 0.131 0.712
Ga: 0.982 0.345 0.638
Cu: 0.309 0.500 0.809
Cu: 0.500 0.000 0.500
Cu: 0.691 0.500 0.191


No. 2
The following is a DFT calculation (PBE) of an optimized crystal structure of MnAgRh2.

Computed properties:
The calculation puts the energy above the most stable polymorph in this dataset at 193 meV per atom. The volume comes out at 61.8 Å³/cell. The calculation puts the formation energy from the elements at 0.2368 eV per atom. Its crystal system is cubic. For the magnetization, the calculation gives 1.38 μB per atom.

a b c (Å): 4.437 4.437 4.437
angles (deg): 60.00 60.00 60.00
Atoms (fractional coordinates):
Mn: 0.000 0.000 0.000
Ag: 0.750 0.750 0.750
Rh: 0.250 0.250 0.250
Rh: 0.500 0.500 0.500


Copy entry 1 word for word.
The following is a DFT calculation (PBE) of an optimized crystal structure of Nd3Ga8Cu3.

Computed properties:
The calculation puts the energy above the most stable polymorph in this dataset at 0 meV per atom. The volume comes out at 262.5 Å³/cell. The calculation puts the formation energy from the elements at -0.4797 eV per atom. Its crystal system is orthorhombic. For the magnetization, the calculation gives 0.00 μB per atom.

a b c (Å): 8.231 8.231 8.231
angles (deg): 149.36 109.70 78.61
Atoms (fractional coordinates):
Nd: 0.000 0.000 0.000
Nd: 0.303 0.303 0.000
Nd: 0.697 0.697 0.000
Ga: 0.018 0.655 0.362
Ga: 0.157 0.869 0.288
Ga: 0.293 0.655 0.638
Ga: 0.419 0.131 0.288
Ga: 0.581 0.869 0.712
Ga: 0.707 0.345 0.362
Ga: 0.843 0.131 0.712
Ga: 0.982 0.345 0.638
Cu: 0.309 0.500 0.809
Cu: 0.500 0.000 0.500
Cu: 0.691 0.500 0.191


Repeat the first record exactly.
The following is a DFT calculation (PBE) of an optimized crystal structure of Nd3Ga8Cu3.

Computed properties:
The calculation puts the energy above the most stable polymorph in this dataset at 0 meV per atom. The volume comes out at 262.5 Å³/cell. The calculation puts the formation energy from the elements at -0.4797 eV per atom. Its crystal system is orthorhombic. For the magnetization, the calculation gives 0.00 μB per atom.

a b c (Å): 8.231 8.231 8.231
angles (deg): 149.36 109.70 78.61
Atoms (fractional coordinates):
Nd: 0.000 0.000 0.000
Nd: 0.303 0.303 0.000
Nd: 0.697 0.697 0.000
Ga: 0.018 0.655 0.362
Ga: 0.157 0.869 0.288
Ga: 0.293 0.655 0.638
Ga: 0.419 0.131 0.288
Ga: 0.581 0.869 0.712
Ga: 0.707 0.345 0.362
Ga: 0.843 0.131 0.712
Ga: 0.982 0.345 0.638
Cu: 0.309 0.500 0.809
Cu: 0.500 0.000 0.500
Cu: 0.691 0.500 0.191


> Number 1 is which compound?

Nd3Ga8Cu3


> Among the records above, which one has the lowest magnetization?

Nd3Ga8Cu3